Entry 1:
First-principles (GGA-PBE) data for an optimized crystal structure of Cr2CdHg, as listed in Alexandria via LeMat-Bulk.

Output
**Final energy**: -17.95 eV/cell
**Relative energy among the computed polymorphs**: 7.89 kcal/mol of atoms
**Size of the total moment**: 8.26 Bohr magnetons per cell
**Symmetry**: P4mm

Unit cell a=3.595 b=3.595 c=6.074 alpha=90.00 beta=90.00 gamma=90.00
Site moments in Bohr magnetons follow the coordinates.
Fractional positions:
Hg 0.000 0.000 0.476  0.01
Cr 0.000 0.000 0.990  3.71
Cd 0.500 0.500 0.770  -0.01
Cr 0.500 0.500 0.263  3.71

***

Entry 2:
First-principles (GGA-PBE) data for an optimized crystal structure of Pm4PaSb5, as listed in Alexandria via LeMat-Bulk.

Output
**Final energy**: -59.47 eV/cell
**Relative energy among the computed polymorphs**: 0.22 kcal/mol of atoms
**Size of the total moment**: 1.00 Bohr magnetons per cell
**Symmetry**: I4/mmm
**Energy relative to the elements, uncorrected**: -1.036 eV/atom

Unit cell a=4.469 b=4.469 c=16.091 alpha=97.98 beta=97.98 gamma=90.00
Site moments in Bohr magnetons follow the coordinates.
Fractional positions:
Pm 0.601 0.601 0.202  0.01
Pm 0.800 0.800 0.600  0.00
Pm 0.200 0.200 0.400  0.00
Sb 0.500 0.500 0.000  -0.03
Sb 0.300 0.300 0.600  0.00
Sb 0.098 0.098 0.196  -0.01
Sb 0.902 0.902 0.804  -0.01
Sb 0.700 0.700 0.400  0.00
Pa 0.000 0.000 0.000  0.87
Pm 0.399 0.399 0.798  0.01

***

Entry 3:
First-principles (GGA-PBE) data for an optimized crystal structure of HfMgAsSe2, as listed in Alexandria via LeMat-Bulk.

Output
**Final energy**: -21.71 eV/cell
**Relative energy among the computed polymorphs**: 14.56 kcal/mol of atoms
**Size of the total moment**: 0.00 Bohr magnetons per cell
**Symmetry**: P4/mmm
**Energy relative to the elements, uncorrected**: 0.291 eV/atom

Unit cell a=4.881 b=4.881 c=4.891 alpha=90.00 beta=90.00 gamma=90.00
Fractional positions:
Se 0.000 0.500 0.000
Hf 0.500 0.500 0.500
As 0.000 0.000 0.500
Mg 0.000 0.000 0.000
Se 0.500 0.000 0.000